! Tb2BeSi2, optimized geometry, DFT PBE; values from VASP
! Raw formation energy in eV per atom: -0.658
! Space group: No. 12
&SYSTEM
  ibrav = 0, nat = 10, ntyp = 3
/
ATOMIC_SPECIES
Tb 158.93 Tb.upf
Si 28.09 Si.upf
Be 9.01 Be.upf
ATOMIC_POSITIONS crystal
Tb 0.293 0.769 0.645
Tb 0.107 0.689 0.097
Tb 0.707 0.231 0.355
Tb 0.893 0.311 0.903
Si 0.963 0.667 0.406
Si 0.037 0.333 0.594
Si 0.384 0.111 0.121
Si 0.616 0.889 0.879
Be 0.439 0.808 0.313
Be 0.561 0.192 0.687
CELL_PARAMETERS angstrom
-3.834 -0.600 0.827
-1.972 -4.455 -2.855
0.453 -6.564 6.852


! Tb3Be2Si4, optimized geometry, DFT PBE; values from VASP
! Raw formation energy in eV per atom: -0.573
! Space group: No. 12
&SYSTEM
  ibrav = 0, nat = 9, ntyp = 3
/
ATOMIC_SPECIES
Si 28.09 Si.upf
Tb 158.93 Tb.upf
Be 9.01 Be.upf
ATOMIC_POSITIONS crystal
Si 0.110 0.220 0.399
Si 0.279 0.558 0.936
Si 0.890 0.780 0.601
Si 0.721 0.442 0.064
Tb 0.621 0.242 0.686
Tb 0.379 0.758 0.314
Tb 0.000 0.000 0.000
Be 0.677 0.354 0.325
Be 0.323 0.646 0.675
CELL_PARAMETERS angstrom
3.951 0.000 0.000
-1.976 5.286 -0.171
0.000 -2.377 7.783


! Tb3BeSi2, optimized geometry, DFT PBE; values from VASP
! Raw formation energy in eV per atom: -0.608
! Space group: No. 62
&SYSTEM
  ibrav = 0, nat = 24, ntyp = 3
/
ATOMIC_SPECIES
Tb 158.93 Tb.upf
Si 28.09 Si.upf
Be 9.01 Be.upf
ATOMIC_POSITIONS crystal
Tb 0.250 0.797 0.702
Tb 0.250 0.441 0.379
Tb 0.750 0.203 0.298
Tb 0.750 0.620 0.936
Tb 0.250 0.380 0.064
Tb 0.750 0.941 0.121
Tb 0.750 0.297 0.798
Tb 0.250 0.703 0.202
Tb 0.750 0.559 0.621
Tb 0.250 0.120 0.564
Tb 0.750 0.880 0.436
Tb 0.250 0.059 0.879
Si 0.250 0.484 0.805
Si 0.250 0.819 0.964
Si 0.750 0.984 0.695
Si 0.750 0.516 0.195
Si 0.750 0.181 0.036
Si 0.250 0.016 0.305
Si 0.250 0.681 0.464
Si 0.750 0.319 0.536
Be 0.250 0.363 0.635
Be 0.750 0.863 0.865
Be 0.750 0.637 0.365
Be 0.250 0.137 0.135
CELL_PARAMETERS angstrom
-0.503 -3.374 2.161
1.402 -6.310 -9.525
11.106 -0.427 1.918


Values for magnetic moment, μB per atom, ordered as above
0.000; 0.000; 0.000
Values for total energy, eV per atom, ordered as above
-5.42; -5.36; -5.35